## Ca3ZrN (PBE)

Data for a relaxed structure of Ca3ZrN.

a = 5.007 Å, b = 5.007 Å, c = 5.007 Å
α = 90.00°, β = 90.00°, γ = 90.00°
Positions (direct):
Ca 0.000 0.000 0.500
Ca 0.000 0.500 0.000
Ca 0.500 0.000 0.000
Zr 0.500 0.500 0.500
N 0.000 0.000 0.000

**E above lowest polymorph**: 0.000 eV per atom
**SG**: No. 221

## Tm4Sn2C (PBE)

Data for a relaxed structure of Tm4Sn2C.

a = 8.534 Å, b = 8.534 Å, c = 8.534 Å
α = 147.88°, β = 147.88°, γ = 46.06°
Positions (direct):
Tm 0.000 0.500 0.500
Tm 0.158 0.158 0.000
Tm 0.500 0.000 0.500
Tm 0.842 0.842 0.000
Sn 0.359 0.359 0.000
Sn 0.641 0.641 0.000
C 0.000 0.000 0.000

**Formation enthalpy at 0 K**: -0.683 eV per atom
**E above lowest polymorph**: 0.000 eV per atom
**SG**: No. 139

## RbFeRe2 (PBE)

Data for a relaxed structure of RbFeRe2.

a = 4.482 Å, b = 4.482 Å, c = 4.482 Å
α = 60.00°, β = 60.00°, γ = 60.00°
Positions (direct):
Rb 0.000 0.000 0.000
Fe 0.500 0.500 0.500
Re 0.250 0.250 0.250
Re 0.750 0.750 0.750

**Formation enthalpy at 0 K**: 2.196 eV per atom
**E above lowest polymorph**: 0.340 eV per atom
**SG**: No. 225

## SrCeZnGa (PBE)

Data for a relaxed structure of SrCeZnGa.

a = 5.324 Å, b = 5.324 Å, c = 5.324 Å
α = 60.00°, β = 60.00°, γ = 60.00°
Positions (direct):
Sr 0.000 0.000 0.000
Ce 0.500 0.500 0.500
Zn 0.750 0.750 0.750
Ga 0.250 0.250 0.250

**Formation enthalpy at 0 K**: -0.246 eV per atom
**SG**: No. 216

## BaAg2AsSe4 (PBE)

Data for a relaxed structure of BaAg2AsSe4.

a = 6.690 Å, b = 6.690 Å, c = 6.690 Å
α = 116.59°, β = 111.05°, γ = 101.14°
Positions (direct):
Ba 0.000 0.000 0.000
Ag 0.317 0.817 0.500
Ag 0.683 0.183 0.500
As 0.500 0.500 0.000
Se 0.131 0.128 0.607
Se 0.478 0.872 0.003
Se 0.522 0.525 0.393
Se 0.869 0.475 0.997

**SG**: No. 23
**Electronic total energy**: -30.71 eV for the cell shown

## VTcSb3 (PBE)

Data for a relaxed structure of VTcSb3.

a = 5.152 Å, b = 5.152 Å, c = 5.152 Å
α = 90.00°, β = 90.00°, γ = 90.00°
Positions (direct):
V 0.000 0.000 0.000
Tc 0.500 0.500 0.500
Sb 0.000 0.500 0.500
Sb 0.500 0.000 0.500
Sb 0.500 0.500 0.000

**E above lowest polymorph**: 0.000 eV per atom
**SG**: No. 221

## CdCuRu2 (PBE)

Data for a relaxed structure of CdCuRu2.

a = 2.841 Å, b = 2.841 Å, c = 7.454 Å
α = 90.00°, β = 90.00°, γ = 90.00°
Positions (direct):
Cd 0.000 0.000 0.000
Cu 0.500 0.500 0.261
Ru 0.000 0.000 0.496
Ru 0.500 0.500 0.714

**Formation enthalpy at 0 K**: 0.152 eV per atom
**SG**: No. 99

## BaLi4 (PBE)

Data for a relaxed structure of BaLi4.

a = 6.654 Å, b = 6.654 Å, c = 6.654 Å
α = 109.47°, β = 109.47°, γ = 109.47°
Positions (direct):
Ba 0.000 0.000 0.000
Li 0.000 0.000 0.500
Li 0.000 0.500 0.000
Li 0.500 0.000 0.000
Li 0.500 0.500 0.500

**Formation enthalpy at 0 K**: 0.709 eV per atom
**E above lowest polymorph**: 0.697 eV per atom
**SG**: No. 229

## Rb3TbHo2S6 (PBE)

Data for a relaxed structure of Rb3TbHo2S6.

a = 7.056 Å, b = 7.056 Å, c = 8.039 Å
α = 98.42°, β = 98.42°, γ = 120.00°
Positions (direct):
Rb 0.000 0.000 0.000
Rb 0.334 0.666 0.000
Rb 0.666 0.334 0.000
Tb 0.500 0.500 0.500
Ho 0.167 0.833 0.500
Ho 0.833 0.167 0.500
S 0.101 0.436 0.308
S 0.228 0.228 0.691
S 0.436 0.101 0.308
S 0.564 0.899 0.692
S 0.772 0.772 0.309
S 0.899 0.564 0.692

**SG**: No. 12
**Electronic total energy**: -63.71 eV for the cell shown

## HgAs2PBr (PBE)

Data for a relaxed structure of HgAs2PBr.

a = 4.907 Å, b = 4.907 Å, c = 5.169 Å
α = 90.00°, β = 90.00°, γ = 90.00°
Positions (direct):
Hg 0.000 0.000 0.000
As 0.000 0.500 0.500
As 0.500 0.000 0.500
P 0.500 0.500 0.500
Br 0.500 0.500 0.000

**E above lowest polymorph**: 0.000 eV per atom
**SG**: No. 123

## CoNiH3Rh (PBE)

Data for a relaxed structure of CoNiH3Rh.

a = 4.540 Å, b = 2.757 Å, c = 7.025 Å
α = 90.00°, β = 102.37°, γ = 90.00°
Positions (direct):
Co 0.235 0.250 0.459
Co 0.765 0.750 0.541
Ni 0.129 0.750 0.144
Ni 0.871 0.250 0.856
H 0.028 0.250 0.650
H 0.249 0.250 0.008
H 0.450 0.750 0.337
H 0.550 0.250 0.663
H 0.751 0.750 0.992
H 0.972 0.750 0.350
Rh 0.355 0.750 0.802
Rh 0.645 0.250 0.198

**SG**: No. 11
**Electronic total energy**: -60.16 eV for the cell shown

## Y3TaBr (PBE)

Data for a relaxed structure of Y3TaBr.

a = 5.573 Å, b = 5.573 Å, c = 5.573 Å
α = 90.00°, β = 90.00°, γ = 90.00°
Positions (direct):
Y 0.000 0.000 0.500
Y 0.000 0.500 0.000
Y 0.500 0.000 0.000
Ta 0.000 0.000 0.000
Br 0.500 0.500 0.500

**E above lowest polymorph**: 0.089 eV per atom
**SG**: No. 221

## NaScTl2I6 (PBE)

Data for a relaxed structure of NaScTl2I6.

a = 8.465 Å, b = 8.465 Å, c = 8.465 Å
α = 59.19°, β = 59.19°, γ = 59.19°
Positions (direct):
Na 0.000 0.000 0.000
Sc 0.495 0.495 0.495
Tl 0.285 0.285 0.285
Tl 0.793 0.793 0.793
I 0.163 0.717 0.355
I 0.258 0.641 0.820
I 0.355 0.163 0.717
I 0.641 0.820 0.258
I 0.717 0.355 0.163
I 0.820 0.258 0.641

**SG**: No. 146
**Electronic total energy**: -31.61 eV for the cell shown

## InSn2Hg2 (PBE)

Data for a relaxed structure of InSn2Hg2.

a = 8.194 Å, b = 8.194 Å, c = 4.156 Å
α = 90.00°, β = 90.00°, γ = 90.00°
Positions (direct):
In 0.000 0.000 0.000
In 0.500 0.500 0.000
Sn 0.135 0.365 0.000
Sn 0.365 0.865 0.000
Sn 0.635 0.135 0.000
Sn 0.865 0.635 0.000
Hg 0.167 0.667 0.500
Hg 0.333 0.167 0.500
Hg 0.667 0.833 0.500
Hg 0.833 0.333 0.500

**Formation enthalpy at 0 K**: 0.094 eV per atom
**E above lowest polymorph**: 0.003 eV per atom
**SG**: No. 127

## TiZnGa2 (PBE)

Data for a relaxed structure of TiZnGa2.

a = 3.162 Å, b = 3.162 Å, c = 6.426 Å
α = 90.00°, β = 90.00°, γ = 90.00°
Positions (direct):
Ti 0.000 0.000 0.000
Zn 0.000 0.000 0.500
Ga 0.500 0.500 0.262
Ga 0.500 0.500 0.738

**Formation enthalpy at 0 K**: -0.139 eV per atom
**SG**: No. 123

## LiTmU2N4 (PBE)

Data for a relaxed structure of LiTmU2N4.

a = 5.831 Å, b = 3.455 Å, c = 5.908 Å
α = 90.00°, β = 108.84°, γ = 90.00°
Positions (direct):
Li 0.000 0.000 0.000
Tm 0.000 0.500 0.500
U 0.500 0.000 0.500
U 0.500 0.500 0.000
N 0.259 0.000 0.746
N 0.287 0.500 0.279
N 0.713 0.500 0.721
N 0.741 0.000 0.254

**SG**: No. 10
**Electronic total energy**: -72.34 eV for the cell shown

## Re2RhSe (PBE)

Data for a relaxed structure of Re2RhSe.

a = 5.397 Å, b = 5.397 Å, c = 5.397 Å
α = 148.17°, β = 132.32°, γ = 58.47°
Positions (direct):
Re 0.214 0.214 0.000
Re 0.786 0.786 0.000
Rh 0.500 0.000 0.500
Se 0.000 0.500 0.500

**SG**: No. 71
**Electronic total energy**: -34.21 eV for the cell shown

## Y2CuHg (PBE)

Data for a relaxed structure of Y2CuHg.

a = 5.952 Å, b = 5.952 Å, c = 5.952 Å
α = 137.53°, β = 137.53°, γ = 61.62°
Positions (direct):
Y 0.000 0.000 0.000
Y 0.750 0.250 0.500
Cu 0.250 0.750 0.500
Hg 0.500 0.500 0.000

**Formation enthalpy at 0 K**: -0.142 eV per atom
**SG**: No. 119

## InOsCl2 (PBE)

Data for a relaxed structure of InOsCl2.

a = 3.149 Å, b = 3.149 Å, c = 9.004 Å
α = 90.00°, β = 90.00°, γ = 90.00°
Positions (direct):
In 0.000 0.000 0.000
Os 0.000 0.000 0.500
Cl 0.500 0.500 0.313
Cl 0.500 0.500 0.687

**E above lowest polymorph**: 0.706 eV per atom
**SG**: No. 123

## LiCa2TeN (PBE)

Data for a relaxed structure of LiCa2TeN.

a = 4.903 Å, b = 4.903 Å, c = 4.294 Å
α = 90.00°, β = 90.00°, γ = 90.00°
Positions (direct):
Li 0.000 0.000 0.000
Ca 0.000 0.500 0.500
Ca 0.500 0.000 0.500
Te 0.500 0.500 0.000
N 0.000 0.000 0.500

**SG**: No. 123
**Electronic total energy**: -22.79 eV for the cell shown

## Pm2MgTl2 (PBE)

Data for a relaxed structure of Pm2MgTl2.

a = 9.130 Å, b = 9.130 Å, c = 6.606 Å
α = 90.00°, β = 90.00°, γ = 148.59°
Positions (direct):
Pm 0.010 0.990 0.500
Pm 0.201 0.799 0.913
Pm 0.799 0.201 0.413
Pm 0.990 0.010 0.000
Mg 0.390 0.610 0.723
Mg 0.610 0.390 0.223
Tl 0.187 0.813 0.399
Tl 0.416 0.584 0.257
Tl 0.584 0.416 0.757
Tl 0.813 0.187 0.899

**Formation enthalpy at 0 K**: -0.268 eV per atom
**E above lowest polymorph**: 0.051 eV per atom
**SG**: No. 36

## Y2Zn5Ni2Rh (PBE)

Data for a relaxed structure of Y2Zn5Ni2Rh.

a = 9.106 Å, b = 9.106 Å, c = 3.977 Å
α = 90.00°, β = 90.00°, γ = 90.00°
Positions (direct):
Y 0.182 0.318 0.000
Y 0.318 0.818 0.000
Y 0.682 0.182 0.000
Y 0.818 0.682 0.000
Zn 0.000 0.500 0.500
Zn 0.056 0.799 0.500
Zn 0.201 0.056 0.500
Zn 0.299 0.556 0.500
Zn 0.444 0.299 0.500
Zn 0.500 0.000 0.500
Zn 0.556 0.701 0.500
Zn 0.701 0.444 0.500
Zn 0.799 0.944 0.500
Zn 0.944 0.201 0.500
Ni 0.112 0.612 0.000
Ni 0.388 0.112 0.000
Ni 0.612 0.888 0.000
Ni 0.888 0.388 0.000
Rh 0.000 0.000 0.000
Rh 0.500 0.500 0.000

**Formation enthalpy at 0 K**: -0.377 eV per atom
**SG**: No. 127

## HfZr2Ni (PBE)

Data for a relaxed structure of HfZr2Ni.

a = 6.109 Å, b = 6.109 Å, c = 6.109 Å
α = 102.30°, β = 102.30°, γ = 125.03°
Positions (direct):
Hf 0.000 0.000 0.000
Hf 0.750 0.250 0.500
Zr 0.180 0.625 0.055
Zr 0.375 0.430 0.555
Zr 0.570 0.125 0.945
Zr 0.875 0.820 0.445
Ni 0.250 0.750 0.500
Ni 0.500 0.500 0.000

**Formation enthalpy at 0 K**: 0.107 eV per atom
**SG**: No. 122

## PuRhO2 (PBE)

Data for a relaxed structure of PuRhO2.

a = 6.142 Å, b = 6.142 Å, c = 6.142 Å
α = 33.28°, β = 33.28°, γ = 33.28°
Positions (direct):
Pu 0.000 0.000 0.000
Rh 0.500 0.500 0.500
O 0.120 0.120 0.120
O 0.880 0.880 0.880

**SG**: No. 166
**Electronic total energy**: -35.60 eV for the cell shown

## HgAs2P6 (PBE)

Data for a relaxed structure of HgAs2P6.

a = 7.086 Å, b = 7.086 Å, c = 4.310 Å
α = 90.00°, β = 90.00°, γ = 120.00°
Positions (direct):
Hg 0.000 0.000 0.000
As 0.333 0.667 0.500
As 0.667 0.333 0.500
P 0.000 0.390 0.830
P 0.000 0.610 0.170
P 0.390 0.000 0.830
P 0.390 0.390 0.170
P 0.610 0.000 0.170
P 0.610 0.610 0.830

**Formation enthalpy at 0 K**: 0.325 eV per atom
**E above lowest polymorph**: 0.072 eV per atom
**SG**: No. 162

Number 1: calculated volume 25.10 A^3/atom, density of states at the Fermi level 6.99 states/eV per cell. Number 2: calculated volume 25.00 A^3/atom, density of states at the Fermi level 0.79 states/eV per cell. Number 3: calculated volume 15.92 A^3/atom, density of states at the Fermi level 2.44 states/eV per cell. Number 4: calculated volume 26.68 A^3/atom, density of states at the Fermi level 8.52 states/eV per cell. Number 5: calculated volume 28.29 A^3/atom, density of states at the Fermi level 4.34 states/eV per cell. Number 6: calculated volume 27.35 A^3/atom, density of states at the Fermi level 7.79 states/eV per cell. Number 7: calculated volume 15.04 A^3/atom, density of states at the Fermi level 2.14 states/eV per cell. Number 8: calculated volume 45.36 A^3/atom, density of states at the Fermi level 6.42 states/eV per cell. Number 9: calculated volume 27.62 A^3/atom, density of states at the Fermi level 0.00 states/eV per cell. Number 10: calculated volume 24.89 A^3/atom, density of states at the Fermi level 4.61 states/eV per cell. Number 11: calculated volume 7.16 A^3/atom, density of states at the Fermi level 9.16 states/eV per cell. Number 12: calculated volume 34.62 A^3/atom, density of states at the Fermi level 6.18 states/eV per cell. Number 13: calculated volume 42.10 A^3/atom, density of states at the Fermi level 0.00 states/eV per cell. Number 14: calculated volume 27.90 A^3/atom, density of states at the Fermi level 4.30 states/eV per cell. Number 15: calculated volume 16.07 A^3/atom, density of states at the Fermi level 2.69 states/eV per cell. Number 16: calculated volume 14.08 A^3/atom, density of states at the Fermi level 7.50 states/eV per cell. Number 17: calculated volume 15.20 A^3/atom, density of states at the Fermi level 3.75 states/eV per cell. Number 18: calculated volume 23.75 A^3/atom, density of states at the Fermi level 4.35 states/eV per cell. Number 19: calculated volume 22.32 A^3/atom, density of states at the Fermi level 1.14 states/eV per cell. Number 20: calculated volume 20.64 A^3/atom, density of states at the Fermi level 0.01 states/eV per cell. Number 21: calculated volume 28.70 A^3/atom, density of states at the Fermi level 6.64 states/eV per cell. Number 22: calculated volume 16.49 A^3/atom, density of states at the Fermi level 8.20 states/eV per cell. Number 23: calculated volume 20.70 A^3/atom, density of states at the Fermi level 8.83 states/eV per cell. Number 24: calculated volume 15.53 A^3/atom, density of states at the Fermi level 5.17 states/eV per cell. Number 25: calculated volume 20.83 A^3/atom, density of states at the Fermi level 5.44 states/eV per cell.